[1]
## Li15MgGa4 (PBE)

Data for an optimized crystal structure of Li15MgGa4.

## Properties
Space group: P4/mmm, No. 123
Energy of formation from the pure elements, eV/atom: -0.135

a = 4.0033 Å, b = 4.0033 Å, c = 21.5166 Å
α = 90.00°, β = 90.00°, γ = 90.00°
Fractional positions:
Li 0.0000 0.0000 0.0000
Li 0.0000 0.0000 0.2061
Li 0.0000 0.0000 0.4020
Li 0.0000 0.0000 0.5980
Li 0.0000 0.0000 0.7939
Li 0.0000 0.5000 0.1092
Li 0.0000 0.5000 0.3031
Li 0.0000 0.5000 0.5000
Li 0.0000 0.5000 0.6969
Li 0.0000 0.5000 0.8908
Li 0.5000 0.0000 0.1092
Li 0.5000 0.0000 0.3031
Li 0.5000 0.0000 0.5000
Li 0.5000 0.0000 0.6969
Li 0.5000 0.0000 0.8908
Mg 0.5000 0.5000 0.0000
Ga 0.5000 0.5000 0.2077
Ga 0.5000 0.5000 0.3997
Ga 0.5000 0.5000 0.6003
Ga 0.5000 0.5000 0.7923


[2]
## K2CaSc (PBE)

Data for an optimized crystal structure of K2CaSc.

## Properties
Space group: Cmmm, No. 65
Energy of formation from the pure elements, eV/atom: 0.534

a = 7.7073 Å, b = 7.7073 Å, c = 3.5828 Å
α = 90.00°, β = 90.00°, γ = 123.10°
Fractional positions:
K 0.0000 0.5000 0.0000
K 0.5000 0.0000 0.0000
Ca 0.0000 0.0000 0.5000
Sc 0.5000 0.5000 0.5000


[3]
## Tb2CeNd2Ho2 (PBE)

Data for an optimized crystal structure of Tb2CeNd2Ho2.

## Properties
Space group: C2/m, No. 12
Energy of formation from the pure elements, eV/atom: 0.151

a = 6.9007 Å, b = 6.9007 Å, c = 6.2762 Å
α = 100.11°, β = 100.11°, γ = 51.20°
Fractional positions:
Tb 0.0723 0.0723 0.2878
Tb 0.9277 0.9277 0.7122
Ce 0.5000 0.5000 0.0000
Nd 0.2154 0.2154 0.8479
Nd 0.7846 0.7846 0.1521
Ho 0.3606 0.3606 0.4310
Ho 0.6394 0.6394 0.5690


[4]
## Zn4SbPb (PBE)

Data for an optimized crystal structure of Zn4SbPb.

## Properties
E_form (uncorrected), eV/atom: 0.13
Space group: F-43m, No. 216

a = 5.5542 Å, b = 5.5542 Å, c = 5.5542 Å
α = 60.00°, β = 60.00°, γ = 60.00°
Fractional positions:
Zn 0.1247 0.1247 0.1247
Zn 0.1247 0.1247 0.6259
Zn 0.1247 0.6259 0.1247
Zn 0.6259 0.1247 0.1247
Sb 0.5000 0.5000 0.5000
Pb 0.7500 0.7500 0.7500


[5]
## Th4SiAu (PBE)

Data for an optimized crystal structure of Th4SiAu.

## Properties
E_form (uncorrected), eV/atom: -0.46
Space group: P4/mcc, No. 124

a = 7.4780 Å, b = 7.4780 Å, c = 5.8722 Å
α = 90.00°, β = 90.00°, γ = 90.00°
Fractional positions:
Th 0.1541 0.3326 0.0000
Th 0.1541 0.6674 0.5000
Th 0.3326 0.1541 0.5000
Th 0.3326 0.8459 0.0000
Th 0.6674 0.1541 0.0000
Th 0.6674 0.8459 0.5000
Th 0.8459 0.3326 0.5000
Th 0.8459 0.6674 0.0000
Si 0.0000 0.0000 0.2500
Si 0.0000 0.0000 0.7500
Au 0.5000 0.5000 0.2500
Au 0.5000 0.5000 0.7500


[6]
## CaIn4Ag2 (PBE)

Data for an optimized crystal structure of CaIn4Ag2.

## Properties
Space group: Cmmm, No. 65
Energy of formation from the pure elements, eV/atom: -0.135

a = 9.1145 Å, b = 9.1145 Å, c = 4.4671 Å
α = 90.00°, β = 90.00°, γ = 151.41°
Fractional positions:
Ca 0.0000 0.0000 0.0000
In 0.1783 0.8217 0.5000
In 0.3174 0.6826 0.0000
In 0.6826 0.3174 0.0000
In 0.8217 0.1783 0.5000
Ag 0.4243 0.5757 0.5000
Ag 0.5757 0.4243 0.5000


[7]
## Na2Sn3Bi2 (PBE)

Data for an optimized crystal structure of Na2Sn3Bi2.

## Properties
Space group: C2/m, No. 12
Energy of formation from the pure elements, eV/atom: -0.085

a = 6.1993 Å, b = 6.1993 Å, c = 7.7875 Å
α = 103.82°, β = 103.82°, γ = 50.75°
Fractional positions:
Na 0.1581 0.1581 0.3014
Na 0.8419 0.8419 0.6986
Sn 0.3877 0.3877 0.0689
Sn 0.5000 0.5000 0.5000
Sn 0.6123 0.6123 0.9311
Bi 0.1463 0.1463 0.7374
Bi 0.8537 0.8537 0.2626


[8]
## KYCu2 (PBE)

Data for an optimized crystal structure of KYCu2.

## Properties
Space group: R-3m, No. 166
Energy of formation from the pure elements, eV/atom: 0.299

a = 8.7482 Å, b = 8.7482 Å, c = 8.7482 Å
α = 26.05°, β = 26.05°, γ = 26.05°
Fractional positions:
K 0.0000 0.0000 0.0000
Y 0.5000 0.5000 0.5000
Cu 0.2340 0.2340 0.2340
Cu 0.7660 0.7660 0.7660


[9]
## B4C (PBE)

Data for an optimized crystal structure of B4C.

## Properties
Space group: Imma, No. 74
Energy of formation from the pure elements, eV/atom: 0.530

a = 11.2919 Å, b = 11.2919 Å, c = 11.2919 Å
α = 166.71°, β = 166.57°, γ = 18.94°
Fractional positions:
B 0.0841 0.8341 0.2500
B 0.1443 0.3943 0.7500
B 0.2837 0.0337 0.2500
B 0.4715 0.2215 0.2500
B 0.5285 0.7785 0.7500
B 0.7163 0.9663 0.7500
B 0.8557 0.6057 0.2500
B 0.9159 0.1659 0.7500
C 0.3173 0.5673 0.7500
C 0.6827 0.4327 0.2500


[10]
## ZrMoH2Se (PBE)

Data for an optimized crystal structure of ZrMoH2Se.

## Properties
Space group: P4/mmm, No. 123

a = 3.7503 Å, b = 3.7503 Å, c = 5.7724 Å
α = 90.00°, β = 90.00°, γ = 90.00°
Fractional positions:
Zr 0.0000 0.0000 0.0000
Mo 0.5000 0.5000 0.0000
H 0.0000 0.5000 0.5000
H 0.5000 0.0000 0.5000
Se 0.0000 0.0000 0.5000


[11]
## SrRhPb4 (PBE)

Data for an optimized crystal structure of SrRhPb4.

## Properties
Space group: Cmcm, No. 63
Energy of formation from the pure elements, eV/atom: -0.277

a = 9.5422 Å, b = 9.5422 Å, c = 7.6979 Å
α = 90.00°, β = 90.00°, γ = 151.07°
Fractional positions:
Sr 0.1243 0.8757 0.7500
Sr 0.8757 0.1243 0.2500
Rh 0.2160 0.7840 0.2500
Rh 0.7840 0.2160 0.7500
Pb 0.0682 0.9318 0.2500
Pb 0.3119 0.6881 0.5391
Pb 0.3119 0.6881 0.9609
Pb 0.5000 0.5000 0.0000
Pb 0.5000 0.5000 0.5000
Pb 0.6881 0.3119 0.0391
Pb 0.6881 0.3119 0.4609
Pb 0.9318 0.0682 0.7500


[12]
## NaCd2Bi (PBE)

Data for an optimized crystal structure of NaCd2Bi.

## Properties
Space group: P2_1/m, No. 11
Energy of formation from the pure elements, eV/atom: -0.140

a = 4.7888 Å, b = 8.1825 Å, c = 6.2894 Å
α = 90.00°, β = 112.32°, γ = 90.00°
Fractional positions:
Na 0.0698 0.2500 0.1401
Na 0.9302 0.7500 0.8599
Cd 0.3843 0.0499 0.7666
Cd 0.3843 0.4501 0.7666
Cd 0.6157 0.5499 0.2334
Cd 0.6157 0.9501 0.2334
Bi 0.2173 0.7500 0.4357
Bi 0.7827 0.2500 0.5643


no.,total energy (eV per atom),magnetization (μB/f.u.)
1,-2.256,0.00
2,-2.098,0.87
3,-4.690,1.79
4,-2.020,0.00
5,-6.857,0.00
6,-2.800,0.00
7,-3.286,0.00
8,-3.639,0.00
9,-6.657,0.00
10,-5.043,1.63
11,-4.255,0.00
12,-1.897,0.00